1.
The following is a meta-GGA SCAN calculation of BaLa3Ir at its PBEsol-relaxed geometry, from Alexandria.

Properties
Crystal system   cubic
Space-group type   Pm-3m (221)
Total energy   -48.38 eV per atom
Formation energy from the elements   -1.92 eV per formula unit
Total magnetic moment   0.1 μB per formula unit
ΔE to the lowest computed polymorph   0.10 eV per formula unit

abc: 5.7237 5.7237 5.7237
angles: 90.00 90.00 90.00
With the nearest neighbours (Å) after each atom.
Fractional positions:
Ba (0.0000, 0.0000, 0.0000)  12 La 4.05
La (0.0000, 0.5000, 0.5000)  2 Ir 2.86
La (0.5000, 0.0000, 0.5000)  2 Ir 2.86
La (0.5000, 0.5000, 0.0000)  2 Ir 2.86
Ir (0.5000, 0.5000, 0.5000)  6 La 2.86



2.
The following is a meta-GGA SCAN calculation of ZrPH at its PBEsol-relaxed geometry, from Alexandria.

Properties
Crystal system   hexagonal
Space-group type   P-6m2 (187)
Total energy   -16.01 eV per atom
Total magnetic moment   0.0 μB per formula unit

abc: 3.5268 3.5268 3.4782
angles: 90.00 90.00 120.00
With the nearest neighbours (Å) after each atom.
Fractional positions:
Zr (0.0000, 0.0000, 0.0000)  3 H 2.04
P (0.3333, 0.6667, 0.5000)  6 Zr 2.68, 6 H 2.68
H (0.6667, 0.3333, 0.0000)  3 Zr 2.04



3.
The following is a meta-GGA SCAN calculation of Cd2CoOs at its PBEsol-relaxed geometry, from Alexandria.

Properties
Crystal system   orthorhombic
Space-group type   Cmmm (65)
Total energy   -36.92 eV per atom
Formation energy from the elements   2.34 eV per formula unit
Total magnetic moment   2.7 μB per formula unit
ΔE to the lowest computed polymorph   0.30 eV per formula unit

abc: 5.0011 5.0011 2.7131
angles: 90.00 90.00 113.11
With the nearest neighbours (Å) after each atom.
Fractional positions:
Cd (0.0000, 0.5000, 0.0000)  4 Cd 2.71-2.76, 4 Co 2.84, 4 Os 2.84
Cd (0.5000, 0.0000, 0.0000)  4 Cd 2.71-2.76, 4 Co 2.84, 4 Os 2.84
Co (0.0000, 0.0000, 0.5000)  2 Co 2.71, 2 Os 2.76, 8 Cd 2.84
Os (0.5000, 0.5000, 0.5000)  2 Os 2.71, 2 Co 2.76, 8 Cd 2.84



4.
The following is a meta-GGA SCAN calculation of Ir2CI at its PBEsol-relaxed geometry, from Alexandria.

Properties
Crystal system   tetragonal
Space-group type   I-42d (122)
Total energy   -46.40 eV per atom
Total magnetic moment   0.0 μB per formula unit
E_form (uncorrected)   3.4 eV per formula unit

abc: 6.6301 6.6301 6.6301
angles: 135.63 135.63 64.55
With the nearest neighbours (Å) after each atom.
Fractional positions:
Ir (0.0121, 0.6250, 0.8871)  2 C 2.00
Ir (0.3750, 0.2621, 0.3871)  2 C 2.00
Ir (0.7379, 0.1250, 0.1129)  2 C 2.00
Ir (0.8750, 0.9879, 0.6129)  2 C 2.00
C (0.0000, 0.0000, 0.0000)  4 Ir 2.00
C (0.7500, 0.2500, 0.5000)  4 Ir 2.00
I (0.2500, 0.7500, 0.5000)  4 Ir 2.61
I (0.5000, 0.5000, 0.0000)  4 Ir 2.61



5.
The following is a meta-GGA SCAN calculation of CrAgPO2 at its PBEsol-relaxed geometry, from Alexandria.

Properties
Crystal system   tetragonal
Space-group type   P4/mmm (123)
Total energy   -15.32 eV per atom
Total magnetic moment   0.0 μB per formula unit
E_form (uncorrected)   -4.0 eV per formula unit

abc: 3.5582 3.5582 5.0009
angles: 90.00 90.00 90.00
With the nearest neighbours (Å) after each atom.
Fractional positions:
Cr (0.0000, 0.0000, 0.0000)  4 O 1.78
Ag (0.5000, 0.5000, 0.5000)  4 P 2.52
P (0.0000, 0.0000, 0.5000)  2 Cr 2.50, 4 Ag 2.52
O (0.0000, 0.5000, 0.0000)  2 Cr 1.78
O (0.5000, 0.0000, 0.0000)  2 Cr 1.78



6.
The following is a meta-GGA SCAN calculation of CoRuW2 at its PBEsol-relaxed geometry, from Alexandria.

Properties
Crystal system   tetragonal
Space-group type   P4/mmm (123)
Total energy   -47.76 eV per atom
Formation energy from the elements   0.47 eV per formula unit
Total magnetic moment   0.1 μB per formula unit
ΔE to the lowest computed polymorph   0.00 eV per formula unit

abc: 3.8322 3.8322 3.7177
angles: 90.00 90.00 90.00
With the nearest neighbours (Å) after each atom.
Fractional positions:
Co (0.0000, 0.0000, 0.0000)  8 W 2.67, 4 Ru 2.71
Ru (0.5000, 0.5000, 0.0000)  8 W 2.67, 4 Co 2.71
W (0.0000, 0.5000, 0.5000)  4 Co 2.67, 4 Ru 2.67, 4 W 2.71
W (0.5000, 0.0000, 0.5000)  4 Co 2.67, 4 Ru 2.67, 4 W 2.71



7.
The following is a meta-GGA SCAN calculation of K2TaHg at its PBEsol-relaxed geometry, from Alexandria.

Properties
Crystal system   orthorhombic
Space-group type   Pmm2 (25)
Total energy   -37.21 eV per atom
Formation energy from the elements   2.56 eV per formula unit
Total magnetic moment   0.4 μB per formula unit

abc: 2.9579 4.4433 10.2982
angles: 90.00 90.00 90.00
With the nearest neighbours (Å) after each atom.
Fractional positions:
K (0.0000, 0.0000, 0.0000)  2 K 2.96
K (0.5000, 0.5000, 0.4030)  2 K 2.96
Ta (0.0000, 0.0000, 0.6674)  4 Hg 2.83, 2 Ta 2.96
Hg (0.5000, 0.5000, 0.7587)  4 Ta 2.83, 2 Hg 2.96



8.
The following is a meta-GGA SCAN calculation of BaTl2Rh at its PBEsol-relaxed geometry, from Alexandria.

Properties
Crystal system   tetragonal
Space-group type   P4/mmm (123)
Total energy   -54.67 eV per atom
Formation energy from the elements   -0.63 eV per formula unit
Total magnetic moment   0.0 μB per formula unit

abc: 3.5236 3.5236 7.9090
angles: 90.00 90.00 90.00
With the nearest neighbours (Å) after each atom.
Fractional positions:
Ba (0.0000, 0.0000, 0.0000)  8 Tl 3.51, 4 Ba 3.52
Tl (0.5000, 0.5000, 0.3122)  4 Rh 2.90, 1 Tl 2.97
Tl (0.5000, 0.5000, 0.6878)  4 Rh 2.90, 1 Tl 2.97
Rh (0.0000, 0.0000, 0.5000)  8 Tl 2.90



9.
The following is a meta-GGA SCAN calculation of ZrCd2Au at its PBEsol-relaxed geometry, from Alexandria.

Properties
Crystal system   monoclinic
Space-group type   Pm (6)
Total energy   -40.51 eV per atom
Formation energy from the elements   -1.36 eV per formula unit
Total magnetic moment   0.0 μB per formula unit

abc: 2.9434 4.4756 6.1115
angles: 90.00 104.04 90.00
With the nearest neighbours (Å) after each atom.
Fractional positions:
Zr (0.0000, 0.0000, 0.0000)  4 Au 2.91, 2 Zr 2.94, 7 Cd 3.07-3.21
Cd (0.3516, 0.5000, 0.7018)  1 Au 2.92, 6 Cd 2.94-2.98, 4 Zr 3.21
Cd (0.7431, 0.0000, 0.4816)  2 Au 2.81, 6 Cd 2.94-2.98, 1 Zr 3.07
Au (0.5975, 0.5000, 0.1937)  3 Cd 2.81-2.92, 4 Zr 2.91, 2 Au 2.94



10.
The following is a meta-GGA SCAN calculation of Li2SbBr at its PBEsol-relaxed geometry, from Alexandria.

Properties
Crystal system   orthorhombic
Space-group type   Imm2 (44)
Total energy   -16.30 eV per atom
Total magnetic moment   0.0 μB per formula unit
E_form (uncorrected)   -3.7 eV per formula unit
ΔE to the lowest computed polymorph   0.00 eV per formula unit

abc: 8.0595 8.0595 8.0595
angles: 156.30 155.97 34.01
With the nearest neighbours (Å) after each atom.
Fractional positions:
Li (0.0000, 0.0000, 0.0000)  4 Br 2.65
Li (0.7097, 0.2097, 0.5000)  2 Br 2.62
Sb (0.3350, 0.8350, 0.5000)  6 Li 3.05, 4 Sb 3.31-3.36
Br (0.5779, 0.5779, 0.0000)  6 Li 2.62-2.65



11.
The following is a meta-GGA SCAN calculation of AlTe2Ir at its PBEsol-relaxed geometry, from Alexandria.

Properties
Crystal system   tetragonal
Space-group type   I4/mmm (139)
Total energy   -37.83 eV per atom
Total magnetic moment   0.0 μB per formula unit
E_form (uncorrected)   2.0 eV per formula unit
ΔE to the lowest computed polymorph   3.04 eV per formula unit

abc: 4.8275 4.8275 4.8275
angles: 120.35 120.35 89.39
With the nearest neighbours (Å) after each atom.
Fractional positions:
Al (0.0000, 0.0000, 0.0000)  8 Te 2.95
Te (0.2500, 0.7500, 0.5000)  4 Ir 2.95, 4 Al 2.95
Te (0.7500, 0.2500, 0.5000)  4 Ir 2.95, 4 Al 2.95
Ir (0.5000, 0.5000, 0.0000)  8 Te 2.95



12.
The following is a meta-GGA SCAN calculation of CaCrCl2 at its PBEsol-relaxed geometry, from Alexandria.

Properties
Crystal system   orthorhombic
Space-group type   Pmmm (47)
Total energy   -12.03 eV per atom
Total magnetic moment   4.8 μB per formula unit
E_form (uncorrected)   -4.1 eV per formula unit
ΔE to the lowest computed polymorph   0.47 eV per formula unit

abc: 3.4250 3.7760 6.3177
angles: 90.00 90.00 90.00
With the nearest neighbours (Å) after each atom.
Fractional positions:
Ca (0.0000, 0.0000, 0.0000)  8 Cl 2.96
Cr (0.5000, 0.0000, 0.5000)  4 Cl 2.51
Cl (0.5000, 0.5000, 0.2380)  2 Cr 2.51
Cl (0.5000, 0.5000, 0.7620)  2 Cr 2.51



13.
The following is a meta-GGA SCAN calculation of TaMoOs2 at its PBEsol-relaxed geometry, from Alexandria.

Properties
Crystal system   monoclinic
Space-group type   C2/m (12)
Total energy   -61.24 eV per atom
Formation energy from the elements   0.29 eV per formula unit
Total magnetic moment   0.0 μB per formula unit
ΔE to the lowest computed polymorph   0.55 eV per formula unit

abc: 5.1471 5.1471 2.7362
angles: 100.96 100.96 116.07
With the nearest neighbours (Å) after each atom.
Fractional positions:
Ta (0.0000, 0.0000, 0.0000)  4 Os 2.68, 2 Mo 2.72, 2 Ta 2.74
Mo (0.5000, 0.5000, 0.0000)  4 Os 2.68, 2 Ta 2.72, 2 Mo 2.74
Os (0.0000, 0.5000, 0.5000)  2 Ta 2.68, 2 Mo 2.68, 4 Os 2.72-2.74
Os (0.5000, 0.0000, 0.5000)  2 Ta 2.68, 2 Mo 2.68, 4 Os 2.72-2.74



14.
The following is a meta-GGA SCAN calculation of Be2CuMo at its PBEsol-relaxed geometry, from Alexandria.

Properties
Crystal system   orthorhombic
Space-group type   Immm (71)
Total energy   -14.49 eV per atom
Formation energy from the elements   0.85 eV per formula unit
Total magnetic moment   0.0 μB per formula unit
ΔE to the lowest computed polymorph   0.73 eV per formula unit

abc: 4.8097 4.8097 4.8097
angles: 149.73 125.15 63.93
With the nearest neighbours (Å) after each atom.
Fractional positions:
Be (0.2299, 0.2299, 0.0000)  2 Cu 2.26, 2 Be 2.51
Be (0.7701, 0.7701, 0.0000)  2 Cu 2.26, 2 Be 2.51
Cu (0.0000, 0.5000, 0.5000)  4 Be 2.26, 2 Cu 2.51
Mo (0.5000, 0.0000, 0.5000)  2 Mo 2.51, 4 Be 2.54, 4 Cu 2.55